(1)
Pr12Y5Tm PBE optimized geometry; space-group type = Cmmm (65); calculated formation energy = 20 meV/atom; crystal system = orthorhombic
1.0
7.741 -7.794 0.000
7.741 7.794 0.000
0.000 0.000 5.197
Pr Y Tm
12 5 1
direct
0.001 0.669 0.500
0.164 0.164 0.000
0.167 0.501 0.000
0.331 0.999 0.500
0.334 0.334 0.500
0.499 0.833 0.000
0.501 0.167 0.000
0.666 0.666 0.500
0.669 0.001 0.500
0.833 0.499 0.000
0.836 0.836 0.000
0.999 0.331 0.500
0.166 0.834 0.000
0.333 0.667 0.500
0.500 0.500 0.000
0.667 0.333 0.500
0.834 0.166 0.000
0.000 0.000 0.500

(2)
PaTi2Ir PBE optimized geometry; space-group type = Fm-3m (225); calculated formation energy = -330 meV/atom; crystal system = cubic; energy above the most stable polymorph in this dataset = 0.046 eV per atom
1.0
0.000 3.247 3.247
3.247 0.000 3.247
3.247 3.247 0.000
Pa Ti Ir
1 2 1
direct
0.000 0.000 0.000
0.250 0.250 0.250
0.750 0.750 0.750
0.500 0.500 0.500

(3)
ReBW3 PBE optimized geometry; space-group type = Pm-3m (221); calculated formation energy = 312 meV/atom; crystal system = cubic; energy above the most stable polymorph in this dataset = 0.315 eV per atom
1.0
4.179 0.000 0.000
0.000 4.179 0.000
0.000 0.000 4.179
Re B W
1 1 3
direct
0.000 0.000 0.000
0.500 0.500 0.500
0.000 0.500 0.500
0.500 0.000 0.500
0.500 0.500 0.000

(4)
HfInSbAs2 PBE optimized geometry; space-group type = P4/mmm (123); crystal system = tetragonal
1.0
5.239 0.000 0.000
0.000 5.239 0.000
0.000 0.000 5.338
Hf In Sb As
1 1 1 2
direct
0.000 0.000 0.000
0.500 0.500 0.000
0.500 0.500 0.500
0.000 0.500 0.500
0.500 0.000 0.500

| no. | theoretical density (kg/m3) | total energy (eV for the cell shown) |
| --- | --- | --- |
| 1 | 6102 | -93.782 |
| 2 | 12583 | -35.466 |
| 3 | 17029 | -56.423 |
| 4 | 6403 | -20.783 |